Version w
# Li3In7 PBE optimized geometry
data_Li3In7
_cell_length_a 9.5553
_cell_length_b 9.5553
_cell_length_c 5.9710
_cell_angle_alpha 90.00
_cell_angle_beta 90.00
_cell_angle_gamma 120.00
_symmetry_space_group_name_H-M 'P 63 m c'
_symmetry_Int_Tables_number 186
_symmetry_space_group_name_Hall 'P 6c -2c'
loop_
_atom_site_label
_atom_site_fract_x
_atom_site_fract_y
_atom_site_fract_z
Li1 0.2092 0.4185 0.0000
In1 0.0321 0.5160 0.7037
In2 0.1228 0.2457 0.5006
In3 0.3333 0.6667 0.3770
# Fermi-level density of states in states/eV per atom: 0.4405
# Calculated density in g/cm³: 5.800
# Total magnetic moment in μB/atom: 0.00

=====

Version x
# Li3In7 PBE optimized geometry
data_Li3In7
_cell_length_a 16.1684
_cell_length_b 4.5034
_cell_length_c 6.4698
_cell_angle_alpha 90.00
_cell_angle_beta 103.12
_cell_angle_gamma 90.00
_symmetry_space_group_name_H-M 'C 1 2/m 1'
_symmetry_Int_Tables_number 12
_symmetry_space_group_name_Hall '-C 2y'
loop_
_atom_site_label
_atom_site_fract_x
_atom_site_fract_y
_atom_site_fract_z
Li1 0.0000 0.0000 0.0000
Li2 0.1940 0.0000 0.6134
In1 0.0000 0.0000 0.5000
In2 0.0958 0.5000 0.8162
In3 0.1111 0.5000 0.3235
In4 0.2029 0.0000 0.1213
# Fermi-level density of states in states/eV per atom: 0.3857
# Calculated density in g/cm³: 5.969
# Total magnetic moment in μB/atom: 0.00

=====

version x is the most stable structure; the next one sits 49 meV/atom above it.

=====

Version w
# Li3In5 PBE optimized geometry
data_Li3In5
_cell_length_a 8.9447
_cell_length_b 8.9898
_cell_length_c 4.3753
_cell_angle_alpha 90.00
_cell_angle_beta 90.00
_cell_angle_gamma 90.00
_symmetry_space_group_name_H-M 'C m m m'
_symmetry_Int_Tables_number 65
_symmetry_space_group_name_Hall '-C 2 2'
loop_
_atom_site_label
_atom_site_fract_x
_atom_site_fract_y
_atom_site_fract_z
Li1 0.0000 0.0000 0.0000
Li2 0.0000 0.2622 0.5000
In1 0.0000 0.5000 0.0000
In2 0.2266 0.0000 0.5000
In3 0.2500 0.2500 0.0000
# Fermi-level density of states in states/eV per atom: 0.3134
# Calculated density in g/cm³: 5.616
# Total magnetic moment in μB/atom: 0.00

=====

Version x
# Li3In5 PBE optimized geometry
data_Li3In5
_cell_length_a 3.4728
_cell_length_b 3.4728
_cell_length_c 14.5206
_cell_angle_alpha 90.00
_cell_angle_beta 90.00
_cell_angle_gamma 90.00
_symmetry_space_group_name_H-M 'P 4/m m m'
_symmetry_Int_Tables_number 123
_symmetry_space_group_name_Hall '-P 4 2'
loop_
_atom_site_label
_atom_site_fract_x
_atom_site_fract_y
_atom_site_fract_z
Li1 0.0000 0.0000 0.0000
Li2 0.5000 0.5000 0.3845
In1 0.0000 0.0000 0.2691
In2 0.0000 0.0000 0.5000
In3 0.5000 0.5000 0.1239
# Fermi-level density of states in states/eV per atom: 0.2214
# Calculated density in g/cm³: 5.641
# Total magnetic moment in μB/atom: 0.00

=====

version w is the most stable structure; the next one sits 13 meV/atom above it.

=====

Version w
# Li7Mg4In PBE optimized geometry
data_Li7Mg4In
_cell_length_a 4.8318
_cell_length_b 4.8318
_cell_length_c 11.6622
_cell_angle_alpha 90.00
_cell_angle_beta 90.00
_cell_angle_gamma 120.00
_symmetry_space_group_name_H-M 'P -3 m 1'
_symmetry_Int_Tables_number 164
_symmetry_space_group_name_Hall '-P 3 2"'
loop_
_atom_site_label
_atom_site_fract_x
_atom_site_fract_y
_atom_site_fract_z
Li1 0.0000 0.0000 0.0000
Li2 0.0000 0.0000 0.2482
Li3 0.3333 0.6667 0.1732
Li4 0.3333 0.6667 0.4183
Mg1 0.3333 0.6667 0.6601
Mg2 0.3333 0.6667 0.9208
In1 0.0000 0.0000 0.5000
# Fermi-level density of states in states/eV per atom: 0.4234
# Calculated density in g/cm³: 1.835
# Total magnetic moment in μB/atom: 0.00

=====

Version x
# Li7Mg4In PBE optimized geometry
data_Li7Mg4In
_cell_length_a 14.8338
_cell_length_b 5.0491
_cell_length_c 7.5389
_cell_angle_alpha 90.00
_cell_angle_beta 117.79
_cell_angle_gamma 90.00
_symmetry_space_group_name_H-M 'C 1 2/m 1'
_symmetry_Int_Tables_number 12
_symmetry_space_group_name_Hall '-C 2y'
loop_
_atom_site_label
_atom_site_fract_x
_atom_site_fract_y
_atom_site_fract_z
Li1 0.0000 0.0000 0.0000
Li2 0.0721 0.5000 0.4176
Li3 0.2028 0.5000 0.1929
Li4 0.2112 0.5000 0.8400
Mg1 0.0803 0.0000 0.7268
Mg2 0.1687 0.0000 0.3946
In1 0.0000 0.5000 0.0000
# Fermi-level density of states in states/eV per atom: 0.3573
# Calculated density in g/cm³: 1.733
# Total magnetic moment in μB/atom: 0.00

=====

version w is the most stable structure; the next one sits 103 meV/atom above it.

=====

Version w
# Li2Mg4In PBE optimized geometry
data_Li2Mg4In
_cell_length_a 7.6349
_cell_length_b 5.6442
_cell_length_c 7.9953
_cell_angle_alpha 90.00
_cell_angle_beta 115.79
_cell_angle_gamma 90.00
_symmetry_space_group_name_H-M 'P 1 21/m 1'
_symmetry_Int_Tables_number 11
_symmetry_space_group_name_Hall '-P 2yb'
loop_
_atom_site_label
_atom_site_fract_x
_atom_site_fract_y
_atom_site_fract_z
Li1 0.0349 0.2500 0.4283
Li2 0.1930 0.7500 0.9993
Mg1 0.2435 0.2500 0.1894
Mg2 0.3744 0.0011 0.7780
Mg3 0.3964 0.7500 0.4278
In1 0.0263 0.2500 0.7811
# Fermi-level density of states in states/eV per atom: 0.3651
# Calculated density in g/cm³: 2.419
# Total magnetic moment in μB/atom: 0.00

=====

Version x
# Li2Mg4In PBE optimized geometry
data_Li2Mg4In
_cell_length_a 5.0270
_cell_length_b 19.4436
_cell_length_c 3.0625
_cell_angle_alpha 90.00
_cell_angle_beta 90.00
_cell_angle_gamma 90.00
_symmetry_space_group_name_H-M 'C m m m'
_symmetry_Int_Tables_number 65
_symmetry_space_group_name_Hall '-C 2 2'
loop_
_atom_site_label
_atom_site_fract_x
_atom_site_fract_y
_atom_site_fract_z
Li1 0.0000 0.0663 0.0000
Mg1 0.0000 0.2040 0.5000
Mg2 0.0000 0.3520 0.0000
In1 0.0000 0.5000 0.5000
# Fermi-level density of states in states/eV per atom: 0.2909
# Calculated density in g/cm³: 2.507
# Total magnetic moment in μB/atom: 0.00

=====

version x is the most stable structure; the next one sits 29 meV/atom above it.

=====

Version w
# LiMg4In2 PBE optimized geometry
data_LiMg4In2
_cell_length_a 5.9989
_cell_length_b 9.4686
_cell_length_c 11.9672
_cell_angle_alpha 90.00
_cell_angle_beta 90.00
_cell_angle_gamma 90.00
_symmetry_space_group_name_H-M 'F m m m'
_symmetry_Int_Tables_number 69
_symmetry_space_group_name_Hall '-F 2 2'
loop_
_atom_site_label
_atom_site_fract_x
_atom_site_fract_y
_atom_site_fract_z
Li1 0.0000 0.0000 0.0000
Mg1 0.2500 0.2500 0.0000
Mg2 0.2500 0.2500 0.2500
In1 0.0000 0.0000 0.3633
# Fermi-level density of states in states/eV per atom: 0.3071
# Calculated density in g/cm³: 3.262
# Total magnetic moment in μB/atom: 0.00

=====

Version x
# LiMg4In2 PBE optimized geometry
data_LiMg4In2
_cell_length_a 8.3436
_cell_length_b 8.3436
_cell_length_c 4.8189
_cell_angle_alpha 90.00
_cell_angle_beta 90.00
_cell_angle_gamma 90.00
_symmetry_space_group_name_H-M 'P 42/m n m'
_symmetry_Int_Tables_number 136
_symmetry_space_group_name_Hall '-P 4n 2n'
loop_
_atom_site_label
_atom_site_fract_x
_atom_site_fract_y
_atom_site_fract_z
Li1 0.0000 0.0000 0.0000
Mg1 0.1118 0.3634 0.0000
In1 0.1429 0.1429 0.5000
# Fermi-level density of states in states/eV per atom: 0.3199
# Calculated density in g/cm³: 3.305
# Total magnetic moment in μB/atom: 0.00

=====

version x is the most stable structure; the next one sits 93 meV/atom above it.

=====

Version w
# Li2Mg8In PBE optimized geometry
data_Li2Mg8In
_cell_length_a 4.9082
_cell_length_b 4.9082
_cell_length_c 10.4943
_cell_angle_alpha 90.00
_cell_angle_beta 90.00
_cell_angle_gamma 90.00
_symmetry_space_group_name_H-M 'P 4/m m m'
_symmetry_Int_Tables_number 123
_symmetry_space_group_name_Hall '-P 4 2'
loop_
_atom_site_label
_atom_site_fract_x
_atom_site_fract_y
_atom_site_fract_z
Li1 0.0000 0.0000 0.1780
Mg1 0.0000 0.5000 0.0000
Mg2 0.0000 0.5000 0.3447
Mg3 0.5000 0.5000 0.1668
In1 0.0000 0.0000 0.5000
# Fermi-level density of states in states/eV per atom: 0.2799
# Calculated density in g/cm³: 2.122
# Total magnetic moment in μB/atom: 0.00

=====

Version x
# Li2Mg8In PBE optimized geometry
data_Li2Mg8In
_cell_length_a 16.2082
_cell_length_b 4.6559
_cell_length_c 6.4837
_cell_angle_alpha 90.00
_cell_angle_beta 98.87
_cell_angle_gamma 90.00
_symmetry_space_group_name_H-M 'C 1 2/m 1'
_symmetry_Int_Tables_number 12
_symmetry_space_group_name_Hall '-C 2y'
loop_
_atom_site_label
_atom_site_fract_x
_atom_site_fract_y
_atom_site_fract_z
Li1 0.1340 0.0000 0.1735
Mg1 0.0434 0.0000 0.7302
Mg2 0.0929 0.5000 0.4432
Mg3 0.1820 0.5000 0.9159
Mg4 0.2224 0.0000 0.6268
In1 0.0000 0.5000 0.0000
# Fermi-level density of states in states/eV per atom: 0.3323
# Calculated density in g/cm³: 2.220
# Total magnetic moment in μB/atom: 0.00

=====

version x is the most stable structure; the next one sits 39 meV/atom above it.

=====

Version w
# Li4Mg4In3 PBE optimized geometry
data_Li4Mg4In3
_cell_length_a 3.0715
_cell_length_b 4.8300
_cell_length_c 30.7549
_cell_angle_alpha 90.00
_cell_angle_beta 90.00
_cell_angle_gamma 90.00
_symmetry_space_group_name_H-M 'I m m m'
_symmetry_Int_Tables_number 71
_symmetry_space_group_name_Hall '-I 2 2'
loop_
_atom_site_label
_atom_site_fract_x
_atom_site_fract_y
_atom_site_fract_z
Li1 0.0000 0.0000 0.0425
Li2 0.0000 0.5000 0.1804
Mg1 0.0000 0.0000 0.2309
Mg2 0.0000 0.5000 0.0898
In1 0.0000 0.0000 0.5000
In2 0.0000 0.5000 0.3631
# Fermi-level density of states in states/eV per atom: 0.3193
# Calculated density in g/cm³: 3.417
# Total magnetic moment in μB/atom: 0.00

=====

Version x
# Li4Mg4In3 PBE optimized geometry
data_Li4Mg4In3
_cell_length_a 3.1550
_cell_length_b 4.9410
_cell_length_c 15.2512
_cell_angle_alpha 99.28
_cell_angle_beta 94.43
_cell_angle_gamma 90.50
_symmetry_space_group_name_H-M 'P -1'
_symmetry_Int_Tables_number 2
_symmetry_space_group_name_Hall '-P 1'
loop_
_atom_site_label
_atom_site_fract_x
_atom_site_fract_y
_atom_site_fract_z
Li1 0.1838 0.0515 0.1013
Li2 0.2239 0.6750 0.3482
Mg1 0.2358 0.2328 0.4642
Mg2 0.3600 0.4120 0.8281
In1 0.0000 0.5000 0.0000
In2 0.3009 0.8561 0.7163
# Fermi-level density of states in states/eV per atom: 0.2606
# Calculated density in g/cm³: 3.333
# Total magnetic moment in μB/atom: 0.00

=====

version x is the most stable structure; the next one sits 29 meV/atom above it.

=====

Version w
# LiMg5In4 PBE optimized geometry
data_LiMg5In4
_cell_length_a 16.1527
_cell_length_b 3.3298
_cell_length_c 9.0753
_cell_angle_alpha 90.00
_cell_angle_beta 91.18
_cell_angle_gamma 90.00
_symmetry_space_group_name_H-M 'C 1 2/m 1'
_symmetry_Int_Tables_number 12
_symmetry_space_group_name_Hall '-C 2y'
loop_
_atom_site_label
_atom_site_fract_x
_atom_site_fract_y
_atom_site_fract_z
Li1 0.0000 0.0000 0.0000
Mg1 0.0000 0.0000 0.5000
Mg2 0.1512 0.5000 0.2359
Mg3 0.1936 0.5000 0.6018
In1 0.0328 0.5000 0.7605
In2 0.1765 0.0000 0.9207
# Fermi-level density of states in states/eV per atom: 0.4147
# Calculated density in g/cm³: 4.000
# Total magnetic moment in μB/atom: 0.00

=====

Version x
# LiMg5In4 PBE optimized geometry
data_LiMg5In4
_cell_length_a 5.3609
_cell_length_b 6.4020
_cell_length_c 7.2205
_cell_angle_alpha 77.01
_cell_angle_beta 74.15
_cell_angle_gamma 74.24
_symmetry_space_group_name_H-M 'P -1'
_symmetry_Int_Tables_number 2
_symmetry_space_group_name_Hall '-P 1'
loop_
_atom_site_label
_atom_site_fract_x
_atom_site_fract_y
_atom_site_fract_z
Li1 0.0000 0.0000 0.0000
Mg1 0.0000 0.5000 0.0000
Mg2 0.2019 0.8039 0.6013
Mg3 0.3963 0.6014 0.2027
In1 0.1974 0.2971 0.6172
In2 0.3954 0.1115 0.1934
# Fermi-level density of states in states/eV per atom: 0.4058
# Calculated density in g/cm³: 4.311
# Total magnetic moment in μB/atom: 0.00

=====

version x is the most stable structure; the next one sits 107 meV/atom above it.

=====

Version w
# Li5Mg2In12 PBE optimized geometry
data_Li5Mg2In12
_cell_length_a 13.1742
_cell_length_b 9.8874
_cell_length_c 8.7039
_cell_angle_alpha 90.00
_cell_angle_beta 126.71
_cell_angle_gamma 90.00
_symmetry_space_group_name_H-M 'C 1 2/m 1'
_symmetry_Int_Tables_number 12
_symmetry_space_group_name_Hall '-C 2y'
loop_
_atom_site_label
_atom_site_fract_x
_atom_site_fract_y
_atom_site_fract_z
Li1 0.0000 0.0000 0.0000
Li2 0.2307 0.5000 0.8866
Li3 0.2462 0.5000 0.2845
Mg1 0.0000 0.2610 0.5000
In1 0.0249 0.0000 0.6985
In2 0.0449 0.5000 0.3356
In3 0.1119 0.2668 0.9498
In4 0.2019 0.1592 0.3396
# Fermi-level density of states in states/eV per atom: 0.2789
# Calculated density in g/cm³: 5.339
# Total magnetic moment in μB/atom: 0.00

=====

Version x
# Li5Mg2In12 PBE optimized geometry
data_Li5Mg2In12
_cell_length_a 14.4250
_cell_length_b 8.7004
_cell_length_c 7.1499
_cell_angle_alpha 90.00
_cell_angle_beta 95.18
_cell_angle_gamma 90.00
_symmetry_space_group_name_H-M 'C 1 2/m 1'
_symmetry_Int_Tables_number 12
_symmetry_space_group_name_Hall '-C 2y'
loop_
_atom_site_label
_atom_site_fract_x
_atom_site_fract_y
_atom_site_fract_z
Li1 0.0000 0.0000 0.0000
Li2 0.1612 0.5000 0.4083
Li3 0.2431 0.0000 0.0102
Mg1 0.0000 0.1966 0.5000
In1 0.0476 0.5000 0.7262
In2 0.1045 0.2880 0.0894
In3 0.1514 0.0000 0.3575
In4 0.1952 0.2291 0.6995
# Fermi-level density of states in states/eV per atom: 0.3688
# Calculated density in g/cm³: 5.430
# Total magnetic moment in μB/atom: 0.00

=====

version x is the most stable structure; the next one sits 16 meV/atom above it.

=====

Version w
# Li3MgIn6 PBE optimized geometry
data_Li3MgIn6
_cell_length_a 8.5476
_cell_length_b 5.0462
_cell_length_c 11.1227
_cell_angle_alpha 90.00
_cell_angle_beta 111.23
_cell_angle_gamma 90.00
_symmetry_space_group_name_H-M 'P 1 21/m 1'
_symmetry_Int_Tables_number 11
_symmetry_space_group_name_Hall '-P 2yb'
loop_
_atom_site_label
_atom_site_fract_x
_atom_site_fract_y
_atom_site_fract_z
Li1 0.0971 0.2500 0.2249
Li2 0.3046 0.2500 0.0331
Li3 0.3131 0.7500 0.3646
Mg1 0.1110 0.7500 0.5708
In1 0.0697 0.2500 0.7231
In2 0.0975 0.7500 0.0696
In3 0.2827 0.2500 0.5142
In4 0.2871 0.7500 0.8674
In5 0.4900 0.2500 0.3341
In6 0.4970 0.2500 0.8331
# Fermi-level density of states in states/eV per atom: 0.3251
# Calculated density in g/cm³: 5.451
# Total magnetic moment in μB/atom: 0.00

=====

Version x
# Li3MgIn6 PBE optimized geometry
data_Li3MgIn6
_cell_length_a 9.9383
_cell_length_b 6.1909
_cell_length_c 8.7445
_cell_angle_alpha 90.00
_cell_angle_beta 120.91
_cell_angle_gamma 90.00
_symmetry_space_group_name_H-M 'C 1 2/m 1'
_symmetry_Int_Tables_number 12
_symmetry_space_group_name_Hall '-C 2y'
loop_
_atom_site_label
_atom_site_fract_x
_atom_site_fract_y
_atom_site_fract_z
Li1 0.0000 0.0000 0.0000
Li2 0.0412 0.0000 0.6870
Mg1 0.0000 0.5000 0.5000
In1 0.1449 0.5000 0.9289
In2 0.1983 0.2581 0.2992
# Fermi-level density of states in states/eV per atom: 0.2299
# Calculated density in g/cm³: 5.281
# Total magnetic moment in μB/atom: 0.00

=====

version w is the most stable structure; the next one sits 54 meV/atom above it.